# 1
{
  "formula": "KLiCl2",
  "functional": "meta-GGA SCAN",
  "state": "PBEsol geometry",
  "cell": [[-0.670, 3.537, -1.381], [-0.011, -1.574, -4.026], [-6.300, -2.648, 1.655]],
  "species": ["K", "Cl", "Cl", "Li"],
  "fractional_positions": [[0.533, 0.405, 0.066], [0.955, 0.889, 0.910], [0.219, 0.505, 0.437], [0.794, 0.701, 0.587]],
  "formation_energy_uncorrected_ev_per_atom": -2.013,
  "total_magnetization_mub_per_fu": 0.00,
  "sg": "Cm (8)"
}

***

# 2
{
  "formula": "K4LiCl",
  "functional": "meta-GGA SCAN",
  "state": "PBEsol geometry",
  "cell": [[7.763, 0.000, 0.000], [3.882, 6.723, 0.000], [3.882, 2.241, 6.339]],
  "species": ["Cl", "K", "K", "K", "K", "Li"],
  "fractional_positions": [[0.000, 0.000, 0.000], [0.375, 0.375, 0.375], [0.375, 0.375, 0.876], [0.876, 0.375, 0.375], [0.375, 0.876, 0.375], [0.750, 0.750, 0.750]],
  "formation_energy_uncorrected_ev_per_atom": -0.119,
  "total_magnetization_mub_per_fu": 0.00,
  "sg": "F-43m (216)"
}

***

# 3
{
  "formula": "K3LiCl",
  "functional": "meta-GGA SCAN",
  "state": "PBEsol geometry",
  "cell": [[6.149, 0.000, 0.000], [0.000, 6.149, 0.000], [0.000, 0.000, 6.149]],
  "species": ["K", "K", "K", "Li", "Cl"],
  "fractional_positions": [[0.000, 0.500, 0.000], [0.000, 0.000, 0.500], [0.500, 0.000, 0.000], [0.500, 0.500, 0.500], [0.000, 0.000, 0.000]],
  "formation_energy_uncorrected_ev_per_atom": -0.746,
  "total_magnetization_mub_per_fu": 0.23,
  "sg": "Pm-3m (221)"
}

***

# 4
{
  "formula": "KLi3Cl",
  "functional": "meta-GGA SCAN",
  "state": "PBEsol geometry",
  "cell": [[-1.002, -4.194, 2.968], [4.205, -2.407, -1.982], [2.953, 2.005, 3.830]],
  "species": ["K", "Li", "Li", "Li", "Cl"],
  "fractional_positions": [[0.500, 0.500, 0.500], [0.000, 0.500, 0.000], [0.000, 0.000, 0.500], [0.500, 0.000, 0.000], [0.000, 0.000, 0.000]],
  "formation_energy_uncorrected_ev_per_atom": -0.441,
  "total_magnetization_mub_per_fu": 0.65,
  "sg": "Pm-3m (221)"
}

***

# 5
{
  "formula": "KLi2Cl",
  "functional": "meta-GGA SCAN",
  "state": "PBEsol geometry",
  "cell": [[-5.863, -4.347, 1.839], [1.246, 1.579, -7.253], [6.969, -2.720, 0.831]],
  "species": ["K", "K", "Li", "Li", "Li", "Li", "Cl", "Cl"],
  "fractional_positions": [[0.500, 0.750, 0.250], [0.000, 0.000, 0.000], [0.798, 0.423, 0.125], [0.202, 0.327, 0.625], [0.298, 0.875, 0.673], [0.702, 0.375, 0.577], [0.500, 0.250, 0.750], [0.000, 0.500, 0.500]],
  "formation_energy_uncorrected_ev_per_atom": -0.712,
  "total_magnetization_mub_per_fu": 0.04,
  "sg": "I-42d (122)"
}

***

# 6
{
  "formula": "KLiCl2",
  "functional": "meta-GGA SCAN",
  "state": "PBEsol geometry",
  "cell": [[-1.797, -2.584, 2.360], [1.340, -0.591, 3.651], [-4.208, 3.847, 4.287]],
  "species": ["K", "Cl", "Cl", "Li"],
  "fractional_positions": [[0.500, 0.500, 0.500], [0.266, 0.266, 0.203], [0.734, 0.734, 0.797], [0.000, 0.000, 0.000]],
  "formation_energy_uncorrected_ev_per_atom": -2.037,
  "total_magnetization_mub_per_fu": 0.00,
  "sg": "R-3m (166)"
}